*one*
PdPt2W | PBE | optimized geometry

Calculated values
* calculated density: 16.26 g/cm³
* V: 278.0 Å³/cell

CIF file:
```
data_PdPt2W
_space_group_name_H-M_alt 'I -4 2 d'
_space_group_IT_number 122
_space_group_name_Hall 'I -4 2bw'
_cell_length_a 7.154
_cell_length_b 7.154
_cell_length_c 5.432
_cell_angle_alpha 90.00
_cell_angle_beta 90.00
_cell_angle_gamma 90.00
loop_
_atom_site_label
_atom_site_type_symbol
_atom_site_fract_x
_atom_site_fract_y
_atom_site_fract_z
_atom_site_occupancy
Pd1 Pd 0.000 0.000 0.000 1
Pt1 Pt 0.227 0.250 0.625 1
W1 W 0.000 0.000 0.500 1
```



*two*
PdPt2W | PBE | optimized geometry

Calculated values
* calculated density: 17.94 g/cm³
* V: 251.9 Å³/cell

CIF file:
```
data_PdPt2W
_space_group_name_H-M_alt 'F m -3 m'
_space_group_IT_number 225
_space_group_name_Hall '-F 4 2 3'
_cell_length_a 6.316
_cell_length_b 6.316
_cell_length_c 6.316
_cell_angle_alpha 90.00
_cell_angle_beta 90.00
_cell_angle_gamma 90.00
loop_
_atom_site_label
_atom_site_type_symbol
_atom_site_fract_x
_atom_site_fract_y
_atom_site_fract_z
_atom_site_occupancy
Pd1 Pd 0.000 0.000 0.000 1
Pt1 Pt 0.250 0.250 0.250 1
W1 W 0.000 0.000 0.500 1
```



*three*
PdPt2W | PBE | optimized geometry

Calculated values
* calculated density: 18.05 g/cm³
* V: 250.4 Å³/cell

CIF file:
```
data_PdPt2W
_space_group_name_H-M_alt 'I m m a'
_space_group_IT_number 74
_space_group_name_Hall '-I 2b 2'
_cell_length_a 5.577
_cell_length_b 6.674
_cell_length_c 6.728
_cell_angle_alpha 90.00
_cell_angle_beta 90.00
_cell_angle_gamma 90.00
loop_
_atom_site_label
_atom_site_type_symbol
_atom_site_fract_x
_atom_site_fract_y
_atom_site_fract_z
_atom_site_occupancy
Pd1 Pd 0.000 0.250 0.042 1
Pt1 Pt 0.250 0.043 0.750 1
W1 W 0.000 0.250 0.459 1
```



Most stable to least stable: *three*, *two*, *one*



*one*
PdPt2W2 | PBE | optimized geometry

Calculated values
* calculated density: 18.44 g/cm³
* V: 311.3 Å³/cell

CIF file:
```
data_PdPt2W2
_space_group_name_H-M_alt 'C 1 2/c 1'
_space_group_IT_number 15
_cell_length_a 9.521
_cell_length_b 4.900
_cell_length_c 7.160
_cell_angle_alpha 90.00
_cell_angle_beta 111.27
_cell_angle_gamma 90.00
loop_
_space_group_symop_operation_xyz
'x,y,z'
'-x,-y,-z'
'-x,y,-z+1/2'
'x,-y,z+1/2'
'x+1/2,y+1/2,z'
'-x+1/2,-y+1/2,-z'
'-x+1/2,y+1/2,-z+1/2'
'x+1/2,-y+1/2,z+1/2'
loop_
_atom_site_label
_atom_site_type_symbol
_atom_site_fract_x
_atom_site_fract_y
_atom_site_fract_z
_atom_site_occupancy
Pd1 Pd 0.000 0.163 0.250 1
Pt1 Pt 0.193 0.172 0.647 1
W1 W 0.104 0.344 0.962 1
```



*two*
PdPt2W2 | PBE | optimized geometry

Calculated values
* calculated density: 17.39 g/cm³
* V: 165.0 Å³/cell

CIF file:
```
data_PdPt2W2
_space_group_name_H-M_alt 'P 4/m b m'
_space_group_IT_number 127
_space_group_name_Hall '-P 4 2ab'
_cell_length_a 7.721
_cell_length_b 7.721
_cell_length_c 2.768
_cell_angle_alpha 90.00
_cell_angle_beta 90.00
_cell_angle_gamma 90.00
loop_
_atom_site_label
_atom_site_type_symbol
_atom_site_fract_x
_atom_site_fract_y
_atom_site_fract_z
_atom_site_occupancy
Pd1 Pd 0.000 0.000 0.000 1
Pt1 Pt 0.125 0.375 0.000 1
W1 W 0.172 0.672 0.500 1
```



Most stable to least stable: *one*, *two*



*one*
PdPtW2 | PBE | optimized geometry

Calculated values
* calculated density: 16.22 g/cm³
* V: 274.0 Å³/cell

CIF file:
```
data_PdPtW2
_space_group_name_H-M_alt 'I -4 2 d'
_space_group_IT_number 122
_space_group_name_Hall 'I -4 2bw'
_cell_length_a 7.163
_cell_length_b 7.163
_cell_length_c 5.341
_cell_angle_alpha 90.00
_cell_angle_beta 90.00
_cell_angle_gamma 90.00
loop_
_atom_site_label
_atom_site_type_symbol
_atom_site_fract_x
_atom_site_fract_y
_atom_site_fract_z
_atom_site_occupancy
Pd1 Pd 0.000 0.000 0.000 1
Pt1 Pt 0.000 0.000 0.500 1
W1 W 0.242 0.250 0.625 1
```



*two*
PdPtW2 | PBE | optimized geometry

Calculated values
* calculated density: 16.84 g/cm³
* V: 198.0 Å³/cell

CIF file:
```
data_PdPtW2
_space_group_name_H-M_alt 'R -3 m'
_space_group_IT_number 166
_space_group_name_Hall '-R 3 2"'
_cell_length_a 2.7574
_cell_length_b 2.7574
_cell_length_c 30.0686
_cell_angle_alpha 90.00
_cell_angle_beta 90.00
_cell_angle_gamma 120.00
loop_
_atom_site_label
_atom_site_type_symbol
_atom_site_fract_x
_atom_site_fract_y
_atom_site_fract_z
_atom_site_occupancy
Pd1 Pd 0.0000 0.0000 0.0000 1
Pt1 Pt 0.0000 0.0000 0.5000 1
W1 W 0.0000 0.0000 0.4103 1
```



*three*
PdPtW2 | PBE | optimized geometry

Calculated values
* calculated density: 17.37 g/cm³
* V: 255.9 Å³/cell

CIF file:
```
data_PdPtW2
_space_group_name_H-M_alt 'F m -3 m'
_space_group_IT_number 225
_space_group_name_Hall '-F 4 2 3'
_cell_length_a 6.348
_cell_length_b 6.348
_cell_length_c 6.348
_cell_angle_alpha 90.00
_cell_angle_beta 90.00
_cell_angle_gamma 90.00
loop_
_atom_site_label
_atom_site_type_symbol
_atom_site_fract_x
_atom_site_fract_y
_atom_site_fract_z
_atom_site_occupancy
Pd1 Pd 0.000 0.000 0.000 1
Pt1 Pt 0.000 0.000 0.500 1
W1 W 0.250 0.250 0.250 1
```



Most stable to least stable: *two*, *three*, *one*



*one*
PdPtW | PBE | optimized geometry

Calculated values
* calculated density: 17.16 g/cm³
* V: 47.0 Å³/cell

CIF file:
```
data_PdPtW
_space_group_name_H-M_alt 'P -6 m 2'
_space_group_IT_number 187
_space_group_name_Hall 'P -6 2'
_cell_length_a 4.4634
_cell_length_b 4.4634
_cell_length_c 2.7230
_cell_angle_alpha 90.00
_cell_angle_beta 90.00
_cell_angle_gamma 120.00
loop_
_atom_site_label
_atom_site_type_symbol
_atom_site_fract_x
_atom_site_fract_y
_atom_site_fract_z
_atom_site_occupancy
Pd1 Pd 0.0000 0.0000 0.0000 1
Pt1 Pt 0.3333 0.6667 0.5000 1
W1 W 0.6667 0.3333 0.0000 1
```



*two*
PdPtW | PBE | optimized geometry

Calculated values
* calculated density: 17.28 g/cm³
* V: 186.5 Å³/cell

CIF file:
```
data_PdPtW
_space_group_name_H-M_alt 'C m c m'
_space_group_IT_number 63
_space_group_name_Hall '-C 2c 2'
_cell_length_a 3.957
_cell_length_b 11.902
_cell_length_c 3.961
_cell_angle_alpha 90.00
_cell_angle_beta 90.00
_cell_angle_gamma 90.00
loop_
_atom_site_label
_atom_site_type_symbol
_atom_site_fract_x
_atom_site_fract_y
_atom_site_fract_z
_atom_site_occupancy
Pd1 Pd 0.000 0.247 0.250 1
Pt1 Pt 0.000 0.075 0.750 1
W1 W 0.000 0.418 0.750 1
```



*three*
PdPtW | PBE | optimized geometry

Calculated values
* calculated density: 17.51 g/cm³
* V: 92.0 Å³/cell

CIF file:
```
data_PdPtW
_space_group_name_H-M_alt 'I m m 2'
_space_group_IT_number 44
_cell_length_a 2.794
_cell_length_b 3.963
_cell_length_c 8.312
_cell_angle_alpha 90.00
_cell_angle_beta 90.00
_cell_angle_gamma 90.00
loop_
_space_group_symop_operation_xyz
'x,y,z'
'-x,-y,z'
'-x,y,z'
'x,-y,z'
'x+1/2,y+1/2,z+1/2'
'-x+1/2,-y+1/2,z+1/2'
'-x+1/2,y+1/2,z+1/2'
'x+1/2,-y+1/2,z+1/2'
loop_
_atom_site_label
_atom_site_type_symbol
_atom_site_fract_x
_atom_site_fract_y
_atom_site_fract_z
_atom_site_occupancy
Pd1 Pd 0.000 0.000 0.000 1
Pt1 Pt 0.000 0.000 0.328 1
W1 W 0.000 0.000 0.666 1
```



Most stable to least stable: *three*, *two*, *one*



*one*
Pd2Pt5W | PBE | optimized geometry

Calculated values
* calculated density: 17.71 g/cm³
* V: 514.6 Å³/cell

CIF file:
```
data_Pd2Pt5W
_space_group_name_H-M_alt 'I 4/m c m'
_space_group_IT_number 140
_space_group_name_Hall '-I 4 2c'
_cell_length_a 6.817
_cell_length_b 6.817
_cell_length_c 11.072
_cell_angle_alpha 90.00
_cell_angle_beta 90.00
_cell_angle_gamma 90.00
loop_
_atom_site_label
_atom_site_type_symbol
_atom_site_fract_x
_atom_site_fract_y
_atom_site_fract_z
_atom_site_occupancy
Pd1 Pd 0.143 0.357 0.000 1
Pt1 Pt 0.000 0.000 0.000 1
Pt2 Pt 0.152 0.348 0.333 1
W1 W 0.000 0.000 0.250 1
```



*two*
Pd2Pt5W | PBE | optimized geometry

Calculated values
* calculated density: 18.42 g/cm³
* V: 494.8 Å³/cell

CIF file:
```
data_Pd2Pt5W
_space_group_name_H-M_alt 'F m m m'
_space_group_IT_number 69
_space_group_name_Hall '-F 2 2'
_cell_length_a 5.644
_cell_length_b 7.840
_cell_length_c 11.182
_cell_angle_alpha 90.00
_cell_angle_beta 90.00
_cell_angle_gamma 90.00
loop_
_atom_site_label
_atom_site_type_symbol
_atom_site_fract_x
_atom_site_fract_y
_atom_site_fract_z
_atom_site_occupancy
Pd1 Pd 0.000 0.000 0.246 1
Pt1 Pt 0.000 0.000 0.500 1
Pt2 Pt 0.250 0.250 0.123 1
W1 W 0.000 0.000 0.000 1
```



Most stable to least stable: *two*, *one*



*one*
Pd3Pt6W | PBE | optimized geometry

Calculated values
* calculated density: 17.18 g/cm³
* V: 323.6 Å³/cell

CIF file:
```
data_Pd3Pt6W
_space_group_name_H-M_alt 'C 1 2/m 1'
_space_group_IT_number 12
_cell_length_a 8.994
_cell_length_b 5.271
_cell_length_c 7.439
_cell_angle_alpha 90.00
_cell_angle_beta 113.41
_cell_angle_gamma 90.00
loop_
_space_group_symop_operation_xyz
'x,y,z'
'-x,-y,-z'
'-x,y,-z'
'x,-y,z'
'x+1/2,y+1/2,z'
'-x+1/2,-y+1/2,-z'
'-x+1/2,y+1/2,-z'
'x+1/2,-y+1/2,z'
loop_
_atom_site_label
_atom_site_type_symbol
_atom_site_fract_x
_atom_site_fract_y
_atom_site_fract_z
_atom_site_occupancy
Pd1 Pd 0.000 0.000 0.000 1
Pd2 Pd 0.069 0.000 0.691 1
Pt1 Pt 0.133 0.500 0.904 1
Pt2 Pt 0.183 0.253 0.309 1
W1 W 0.000 0.500 0.500 1
```



*two*
Pd3Pt6W | PBE | optimized geometry

Calculated values
* calculated density: 17.90 g/cm³
* V: 310.6 Å³/cell

CIF file:
```
data_Pd3Pt6W
_space_group_name_H-M_alt 'P 1 21/m 1'
_space_group_IT_number 11
_cell_length_a 7.359
_cell_length_b 4.616
_cell_length_c 9.683
_cell_angle_alpha 90.00
_cell_angle_beta 109.22
_cell_angle_gamma 90.00
loop_
_space_group_symop_operation_xyz
'x,y,z'
'-x,-y,-z'
'-x,y+1/2,-z'
'x,-y+1/2,z'
loop_
_atom_site_label
_atom_site_type_symbol
_atom_site_fract_x
_atom_site_fract_y
_atom_site_fract_z
_atom_site_occupancy
Pd1 Pd 0.003 0.250 0.329 1
Pd2 Pd 0.199 0.750 0.472 1
Pd3 Pd 0.389 0.250 0.935 1
Pt1 Pt 0.008 0.750 0.166 1
Pt2 Pt 0.196 0.750 0.970 1
Pt3 Pt 0.201 0.250 0.634 1
Pt4 Pt 0.398 0.250 0.428 1
Pt5 Pt 0.403 0.750 0.266 1
Pt6 Pt 0.407 0.750 0.772 1
W1 W 0.203 0.250 0.135 1
```



Most stable to least stable: *two*, *one*



*one*
YPdPt3 | PBE | optimized geometry

Calculated values
* calculated density: 13.14 g/cm³
* V: 394.6 Å³/cell

CIF file:
```
data_YPdPt3
_space_group_name_H-M_alt 'C m c m'
_space_group_IT_number 63
_space_group_name_Hall '-C 2c 2'
_cell_length_a 5.213
_cell_length_b 14.755
_cell_length_c 5.130
_cell_angle_alpha 90.00
_cell_angle_beta 90.00
_cell_angle_gamma 90.00
loop_
_atom_site_label
_atom_site_type_symbol
_atom_site_fract_x
_atom_site_fract_y
_atom_site_fract_z
_atom_site_occupancy
Y1 Y 0.000 0.189 0.250 1
Pd1 Pd 0.000 0.451 0.750 1
Pt1 Pt 0.000 0.000 0.000 1
Pt2 Pt 0.241 0.368 0.250 1
```



*two*
YPdPt3 | PBE | optimized geometry

Calculated values
* calculated density: 10.17 g/cm³
* V: 127.5 Å³/cell

CIF file:
```
data_YPdPt3
_space_group_name_H-M_alt 'P m -3 m'
_space_group_IT_number 221
_space_group_name_Hall '-P 4 2 3'
_cell_length_a 5.033
_cell_length_b 5.033
_cell_length_c 5.033
_cell_angle_alpha 90.00
_cell_angle_beta 90.00
_cell_angle_gamma 90.00
loop_
_atom_site_label
_atom_site_type_symbol
_atom_site_fract_x
_atom_site_fract_y
_atom_site_fract_z
_atom_site_occupancy
Y1 Y 0.000 0.000 0.000 1
Pd1 Pd 0.500 0.500 0.500 1
Pt1 Pt 0.000 0.000 0.500 1
```



Most stable to least stable: *one*, *two*



*one*
YPdPt3 | PBE | optimized geometry

Calculated values
* calculated density: 11.38 g/cm³
* V: 113.9 Å³/cell

CIF file:
```
data_YPdPt3
_space_group_name_H-M_alt 'P m -3 m'
_space_group_IT_number 221
_space_group_name_Hall '-P 4 2 3'
_cell_length_a 4.848
_cell_length_b 4.848
_cell_length_c 4.848
_cell_angle_alpha 90.00
_cell_angle_beta 90.00
_cell_angle_gamma 90.00
loop_
_atom_site_label
_atom_site_type_symbol
_atom_site_fract_x
_atom_site_fract_y
_atom_site_fract_z
_atom_site_occupancy
Y1 Y 0.000 0.000 0.000 1
Pd1 Pd 0.500 0.500 0.500 1
Pt1 Pt 0.000 0.500 0.500 1
```



*two*
YPdPt3 | PBE | optimized geometry

Calculated values
* calculated density: 14.04 g/cm³
* V: 184.7 Å³/cell

CIF file:
```
data_YPdPt3
_space_group_name_H-M_alt 'P m m n'
_space_group_IT_number 59
_cell_length_a 4.452
_cell_length_b 6.489
_cell_length_c 6.392
_cell_angle_alpha 90.00
_cell_angle_beta 90.00
_cell_angle_gamma 90.00
loop_
_space_group_symop_operation_xyz
'x,y,z'
'-x,-y,-z'
'-x+1/2,-y+1/2,z'
'x+1/2,y+1/2,-z'
'x+1/2,-y,-z'
'-x+1/2,y,z'
'-x,y+1/2,-z'
'x,-y+1/2,z'
loop_
_atom_site_label
_atom_site_type_symbol
_atom_site_fract_x
_atom_site_fract_y
_atom_site_fract_z
_atom_site_occupancy
Y1 Y 0.250 0.250 0.248 1
Pd1 Pd 0.250 0.750 0.455 1
Pt1 Pt 0.250 0.051 0.755 1
Pt2 Pt 0.250 0.750 0.049 1
```



Most stable to least stable: *two*, *one*



*one*
YPd3Pt | PBE | optimized geometry

Calculated values
* calculated density: 8.57 g/cm³
* V: 116.9 Å³/cell

CIF file:
```
data_YPd3Pt
_space_group_name_H-M_alt 'P m -3 m'
_space_group_IT_number 221
_space_group_name_Hall '-P 4 2 3'
_cell_length_a 4.890
_cell_length_b 4.890
_cell_length_c 4.890
_cell_angle_alpha 90.00
_cell_angle_beta 90.00
_cell_angle_gamma 90.00
loop_
_atom_site_label
_atom_site_type_symbol
_atom_site_fract_x
_atom_site_fract_y
_atom_site_fract_z
_atom_site_occupancy
Y1 Y 0.000 0.000 0.000 1
Pd1 Pd 0.000 0.500 0.500 1
Pt1 Pt 0.500 0.500 0.500 1
```



*two*
YPd3Pt | PBE | optimized geometry

Calculated values
* calculated density: 8.68 g/cm³
* V: 461.4 Å³/cell

CIF file:
```
data_YPd3Pt
_space_group_name_H-M_alt 'I -4 m 2'
_space_group_IT_number 119
_space_group_name_Hall 'I -4 -2'
_cell_length_a 5.037
_cell_length_b 5.037
_cell_length_c 18.185
_cell_angle_alpha 90.00
_cell_angle_beta 90.00
_cell_angle_gamma 90.00
loop_
_atom_site_label
_atom_site_type_symbol
_atom_site_fract_x
_atom_site_fract_y
_atom_site_fract_z
_atom_site_occupancy
Y1 Y 0.000 0.000 0.164 1
Pd1 Pd 0.000 0.249 0.624 1
Pd2 Pd 0.000 0.500 0.070 1
Pt1 Pt 0.000 0.000 0.500 1
Pt2 Pt 0.000 0.500 0.750 1
```



*three*
YPd3Pt | PBE | optimized geometry

Calculated values
* calculated density: 11.05 g/cm³
* V: 362.8 Å³/cell

CIF file:
```
data_YPd3Pt
_space_group_name_H-M_alt 'C 1 2/m 1'
_space_group_IT_number 12
_cell_length_a 5.256
_cell_length_b 9.266
_cell_length_c 7.488
_cell_angle_alpha 90.00
_cell_angle_beta 95.90
_cell_angle_gamma 90.00
loop_
_space_group_symop_operation_xyz
'x,y,z'
'-x,-y,-z'
'-x,y,-z'
'x,-y,z'
'x+1/2,y+1/2,z'
'-x+1/2,-y+1/2,-z'
'-x+1/2,y+1/2,-z'
'x+1/2,-y+1/2,z'
loop_
_atom_site_label
_atom_site_type_symbol
_atom_site_fract_x
_atom_site_fract_y
_atom_site_fract_z
_atom_site_occupancy
Y1 Y 0.220 0.000 0.201 1
Pd1 Pd 0.000 0.251 0.500 1
Pd2 Pd 0.188 0.318 0.147 1
Pt1 Pt 0.245 0.500 0.425 1
```



Most stable to least stable: *three*, *two*, *one*